Material: Mg2ScCrSe
Method: DFT, GGA-PBEsol
State: optimized geometry

Results
Crystal system: tetragonal
Electronic total energy in eV per cell: -22.68
DOS(E_F) in states/eV per atom: 0.654
Magnetization in μB/f.u.: 4.705
Formation energy from raw total energies in eV/atom: 0.2903

Lattice parameters (Å, degrees): 4.941 4.941 4.988 90.00 90.00 90.00
Space group P4/mmm (No. 123)
Inequivalent atoms, fractional coordinates:
Mg 0.000 0.500 0.000
Sc 0.000 0.000 0.500
Cr 0.500 0.500 0.500
Se 0.000 0.000 0.000


Material: SrHgO2
Method: DFT, GGA-PBEsol
State: optimized geometry

Results
Crystal system: trigonal
Electronic total energy in eV per cell: -58.93
DOS(E_F) in states/eV per atom: 0.000
Magnetization in μB/f.u.: 0.000
Formation energy from raw total energies in eV/atom: -1.6848

Lattice parameters (Å, degrees): 3.8228 3.8228 19.0132 90.00 90.00 120.00
Space group R-3m (No. 166, hexagonal axes)
Inequivalent atoms, fractional coordinates:
Sr 0.0000 0.0000 0.0000
Hg 0.0000 0.0000 0.5000
O 0.0000 0.0000 0.3961